First-principles (PBE) data for a relaxed TcIr2 crystal, as listed in the Alexandria database.

Cell lengths 11.876, 11.876, 11.876 Å; angles 161.21, 161.21, 26.70 degrees
Fractional positions:
Tc  0.290  0.540  0.750
Tc  0.460  0.710  0.750
Tc  0.540  0.290  0.250
Tc  0.710  0.460  0.250
Ir  0.041  0.791  0.250
Ir  0.123  0.373  0.750
Ir  0.209  0.959  0.250
Ir  0.373  0.123  0.250
Ir  0.627  0.877  0.750
Ir  0.791  0.041  0.750
Ir  0.877  0.627  0.250
Ir  0.959  0.209  0.750

Properties
The polymorph energy (0 for the lowest one) is 68 meV per atom. The energy relative to the elements comes out at -0.16 eV per atom. Its space group is I4_1/amd.

=====

First-principles (PBE) data for a relaxed Tc3Ir crystal, as listed in the Alexandria database.

Cell lengths 3.873, 3.873, 3.873 Å; angles 90.00, 90.00, 90.00 degrees
Fractional positions:
Tc  0.000  0.000  0.500
Tc  0.000  0.500  0.000
Tc  0.500  0.000  0.000
Ir  0.500  0.500  0.500

Properties
The polymorph energy (0 for the lowest one) is 118 meV per atom. The energy relative to the elements comes out at -0.10 eV per atom. Its space group is Pm-3m.

=====

Total magnetic moment readings, ordered: 0.000; 0.000 Bohr magnetons per cell